1.
Here is a relaxed structure of PmZnSb from Alexandria via LeMat-Bulk. Energies are from PBE-GGA.

Structure (extended XYZ):
```
3
Lattice="4.4543 0.0000 0.0000 -2.2271 3.8575 0.0000 0.0000 0.0000 4.3784" Properties=species:S:1:pos:R:3 pbc="T T T"
Pm 0.0000 0.0000 0.0000
Zn 0.0000 2.5717 2.8770
Sb 2.2271 1.2858 2.0066
```

* raw formation energy: -2.05 eV/f.u.
* total DFT energy (no corrections): -4.06 eV per atom
* SG: P3m1
* distance to the lowest polymorph of the same formula: 0 meV/atom

---

2.
Here is a relaxed structure of LiTh2Tl from Alexandria via LeMat-Bulk. Energies are from PBE-GGA.

Structure (extended XYZ):
```
4
Lattice="4.7800 0.0000 0.0000 0.0000 4.7800 0.0000 0.0000 0.0000 4.7866" Properties=species:S:1:pos:R:3 pbc="T T T"
Li 0.0000 0.0000 0.0000
Th 0.0000 2.3900 2.3933
Th 2.3900 0.0000 2.3933
Tl 2.3900 2.3900 0.0000
```

* total DFT energy (no corrections): -4.79 eV per atom
* SG: P4/mmm
* distance to the lowest polymorph of the same formula: 0 meV/atom

---

3.
Here is a relaxed structure of Cd2Sn2Mo from Alexandria via LeMat-Bulk. Energies are from PBE-GGA.

Structure (extended XYZ):
```
10
Lattice="7.5970 0.0000 0.0000 0.0000 7.5970 0.0000 0.0000 0.0000 4.0174" Properties=species:S:1:pos:R:3 pbc="T T T"
Cd 1.0147 2.7838 0.0000
Cd 2.7838 6.5823 0.0000
Cd 4.8132 1.0147 0.0000
Cd 6.5823 4.8132 0.0000
Sn 1.3179 5.1164 2.0087
Sn 2.4806 1.3179 2.0087
Sn 5.1164 6.2791 2.0087
Sn 6.2791 2.4806 2.0087
Mo 0.0000 0.0000 0.0000
Mo 3.7985 3.7985 0.0000
```

* total DFT energy (no corrections): -3.50 eV per atom
* SG: P4/mbm
* distance to the lowest polymorph of the same formula: 0 meV/atom